# 1
Compound: ThMgGa
Source: the Alexandria database
Functional: PBE
Structure: optimized geometry

POSCAR file:
```
ThMgGa
1.0
3.4373 0.0000 0.0000
0.0000 3.4373 0.0000
0.0000 0.0000 12.2860
Th Mg Ga
2 2 2
Cartesian
0.0000 0.0000 0.0000
1.7187 1.7187 6.1430
0.0000 0.0000 8.6295
1.7187 1.7187 2.4865
0.0000 0.0000 4.0238
1.7187 1.7187 10.1667
```

Calculated values
- Calculated volume: 24.19 A^3/atom
- Formation enthalpy at 0 K: -172 meV/atom
- Fermi-level density of states: 5.97 states/eV per cell

# 2
Compound: Li9MgHg2
Source: the Alexandria database
Functional: PBE
Structure: optimized geometry

POSCAR file:
```
Li9MgHg2
1.0
4.2347 0.0000 0.0000
0.0000 4.2347 0.0000
0.0000 0.0000 12.3730
Li Mg Hg
9 1 2
Cartesian
0.0000 0.0000 0.0000
0.0000 0.0000 4.2226
0.0000 0.0000 8.1504
0.0000 2.1173 2.2361
0.0000 2.1173 6.1865
0.0000 2.1173 10.1369
2.1173 0.0000 2.2361
2.1173 0.0000 6.1865
2.1173 0.0000 10.1369
2.1173 2.1173 0.0000
2.1173 2.1173 4.1867
2.1173 2.1173 8.1863
```

Calculated values
- Calculated volume: 18.49 A^3/atom
- Formation enthalpy at 0 K: -186 meV/atom
- Fermi-level density of states: 6.76 states/eV per cell

# 3
Compound: PrSm2MgHg4
Source: the Alexandria database
Functional: PBE
Structure: optimized geometry

POSCAR file:
```
PrSm2MgHg4
1.0
2.6045 1.5037 8.9912
-2.6045 1.5037 8.9912
0.0000 -3.0075 8.9912
Pr Sm Mg Hg
1 2 1 4
Cartesian
0.0000 0.0000 0.0000
0.0000 0.0000 6.5366
0.0000 0.0000 20.4369
0.0000 0.0000 13.4868
0.0000 0.0000 3.3987
0.0000 0.0000 10.2055
0.0000 0.0000 16.7680
0.0000 0.0000 23.5749
```

Calculated values
- Calculated volume: 26.41 A^3/atom
- Formation enthalpy at 0 K: -450 meV/atom
- Fermi-level density of states: 6.07 states/eV per cell

# 4
Compound: AcTmGa
Source: the Alexandria database
Functional: PBE
Structure: optimized geometry

POSCAR file:
```
AcTmGa
1.0
4.9263 0.0000 0.0000
-2.4631 4.2663 0.0000
0.0000 0.0000 4.4815
Ac Tm Ga
1 1 1
Cartesian
0.0000 0.0000 0.0000
2.4631 1.4221 2.2407
0.0000 2.8442 2.2407
```

Calculated values
- Calculated volume: 31.40 A^3/atom
- Energy relative to the lowest polymorph listed for this composition: 0.39 eV per formula unit
- Formation enthalpy at 0 K: -246 meV/atom
- Fermi-level density of states: 3.68 states/eV per cell

# 5
Compound: Tb3Ni7Ge2
Source: the Alexandria database
Functional: PBE
Structure: optimized geometry

POSCAR file:
```
Tb3Ni7Ge2
1.0
1.9982 -13.6890 0.0000
1.9982 13.6890 0.0000
0.0000 0.0000 3.7044
Tb Ni Ge
3 7 2
Cartesian
0.0000 0.0000 0.0000
1.9982 8.1345 0.0000
1.9982 -8.1345 0.0000
1.9982 10.1519 1.8522
1.9982 5.6131 1.8522
1.9982 3.6840 0.0000
1.9982 0.0000 1.8522
1.9982 -3.6840 0.0000
1.9982 -5.6131 1.8522
1.9982 -10.1519 1.8522
1.9982 2.2565 1.8522
1.9982 -2.2565 1.8522
```

Calculated values
- Calculated volume: 16.89 A^3/atom
- Energy relative to the lowest polymorph listed for this composition: 1.57 eV per formula unit
- Formation enthalpy at 0 K: -259 meV/atom
- Fermi-level density of states: 5.94 states/eV per cell

# 6
Compound: Ta4InFe
Source: the Alexandria database
Functional: PBE
Structure: optimized geometry

POSCAR file:
```
Ta4InFe
1.0
0.0000 3.8558 3.8558
3.8558 0.0000 3.8558
3.8558 3.8558 0.0000
Ta In Fe
4 1 1
Cartesian
0.9651 0.9651 0.9651
2.8906 2.8906 0.9651
2.8906 0.9651 2.8906
0.9651 2.8906 2.8906
3.8558 3.8558 3.8558
5.7836 5.7836 5.7836
```

Calculated values
- Calculated volume: 19.11 A^3/atom
- Formation enthalpy at 0 K: 553 meV/atom
- Fermi-level density of states: 9.49 states/eV per cell

# 7
Compound: YSc4Co5
Source: the Alexandria database
Functional: PBE
Structure: optimized geometry

POSCAR file:
```
YSc4Co5
1.0
3.1651 0.0000 0.0000
0.0000 3.1651 0.0000
0.0000 0.0000 15.8782
Y Sc Co
1 4 5
Cartesian
0.0000 0.0000 0.0000
0.0000 0.0000 3.2905
0.0000 0.0000 6.3899
0.0000 0.0000 9.4884
0.0000 0.0000 12.5877
1.5826 1.5826 1.7979
1.5826 1.5826 4.8488
1.5826 1.5826 7.9391
1.5826 1.5826 11.0294
1.5826 1.5826 14.0804
```

Calculated values
- Calculated volume: 15.91 A^3/atom
- Formation enthalpy at 0 K: -288 meV/atom
- Fermi-level density of states: 6.82 states/eV per cell

# 8
Compound: Sr2ZnAg6Pd
Source: the Alexandria database
Functional: PBE
Structure: optimized geometry

POSCAR file:
```
Sr2ZnAg6Pd
1.0
6.9310 0.0000 0.0000
3.4577 6.0383 0.0000
3.4346 2.0060 5.7227
Sr Zn Ag Pd
2 1 6 1
Cartesian
3.4591 2.0121 2.3445
10.3642 6.0323 3.3782
0.0000 0.0000 0.0000
6.3558 5.5955 5.0126
5.8107 2.7686 5.0115
5.3010 4.3454 0.6964
8.5222 3.6989 5.0263
8.0125 5.2758 0.7112
7.4675 2.4488 0.7101
6.9116 4.0222 2.8614
```

Calculated values
- Calculated volume: 23.95 A^3/atom
- Formation enthalpy at 0 K: -131 meV/atom
- Fermi-level density of states: 3.89 states/eV per cell

# 9
Compound: NaPuPb
Source: the Alexandria database
Functional: PBE
Structure: optimized geometry

POSCAR file:
```
NaPuPb
1.0
5.4314 0.0000 0.0000
-2.7157 4.7038 0.0000
0.0000 0.0000 3.2993
Na Pu Pb
1 1 1
Cartesian
0.0000 0.0000 0.0000
2.7157 1.5679 1.6496
0.0000 3.1358 0.0000
```

Calculated values
- Calculated volume: 28.10 A^3/atom
- Energy relative to the lowest polymorph listed for this composition: 0.03 eV per formula unit
- Formation enthalpy at 0 K: 40 meV/atom
- Fermi-level density of states: 10.11 states/eV per cell

# 10
Compound: Ba2TmAuO5
Source: the Alexandria database
Functional: PBE
Structure: optimized geometry

POSCAR file:
```
Ba2TmAuO5
1.0
1.8003 -7.0053 0.0000
1.8003 7.0053 0.0000
0.0000 0.0000 12.1102
Ba Tm Au O
4 2 2 10
Cartesian
1.8003 5.7194 6.0551
1.8003 4.8879 1.4381
1.8003 -4.8879 7.4932
1.8003 -5.7194 0.0000
1.8003 4.0864 10.2043
1.8003 -4.0864 4.1491
1.8003 0.3055 3.2209
1.8003 -0.3055 9.2760
1.8003 6.1103 10.8083
1.8003 3.2186 5.4970
1.8003 2.3489 2.6742
1.8003 1.7512 9.7533
1.8003 0.2331 7.2843
1.8003 -0.2331 1.2292
1.8003 -1.7512 3.6982
1.8003 -2.3489 8.7293
1.8003 -3.2186 11.5521
1.8003 -6.1103 4.7531
```

Calculated values
- Formation energy without anion corrections: -1814 kJ/mol of formula units
- Calculated volume: 16.97 A^3/atom

# 11
Compound: Hf2PaIr
Source: the Alexandria database
Functional: PBE
Structure: optimized geometry

POSCAR file:
```
Hf2PaIr
1.0
6.7972 0.0000 0.0000
0.0000 6.7972 0.0000
0.0000 0.0000 6.7972
Hf Pa Ir
8 4 4
Cartesian
1.6993 1.6993 1.6993
1.6993 1.6993 5.0979
1.6993 5.0979 1.6993
1.6993 5.0979 5.0979
5.0979 1.6993 1.6993
5.0979 1.6993 5.0979
5.0979 5.0979 1.6993
5.0979 5.0979 5.0979
0.0000 0.0000 0.0000
0.0000 3.3986 3.3986
3.3986 0.0000 3.3986
3.3986 3.3986 0.0000
0.0000 0.0000 3.3986
0.0000 3.3986 0.0000
3.3986 0.0000 0.0000
3.3986 3.3986 3.3986
```

Calculated values
- Calculated volume: 19.63 A^3/atom
- Energy relative to the lowest polymorph listed for this composition: 0.85 eV per formula unit
- Formation enthalpy at 0 K: -193 meV/atom
- Fermi-level density of states: 17.20 states/eV per cell

# 12
Compound: LaCo2Ir2
Source: the Alexandria database
Functional: PBE
Structure: optimized geometry

POSCAR file:
```
LaCo2Ir2
1.0
7.5185 0.0000 0.0000
0.0000 7.5185 0.0000
0.0000 0.0000 2.8044
La Co Ir
2 4 4
Cartesian
0.0000 0.0000 0.0000
3.7593 3.7593 0.0000
0.8836 2.8757 0.0000
2.8757 6.6350 0.0000
4.6428 0.8836 0.0000
6.6350 4.6428 0.0000
1.3042 5.0634 1.4022
2.4551 1.3042 1.4022
5.0634 6.2144 1.4022
6.2144 2.4551 1.4022
```

Calculated values
- Calculated volume: 15.85 A^3/atom
- Energy relative to the lowest polymorph listed for this composition: 0.63 eV per formula unit
- Formation enthalpy at 0 K: -27 meV/atom
- Fermi-level density of states: 10.58 states/eV per cell